[1]
CoTcPbAu | PBE-GGA | relaxed

Calculated values
The symmetry is F-43m (216). The energy above the most stable polymorph in this dataset is 0.0000 eV per atom.

Cell: 4.5658 4.5658 4.5658 Å, 60.00 60.00 60.00°
Closest atoms and distances in Å follow each position.
Element x y z (fractional)
1 Co 0.0000 0.0000 0.0000  4 Pb 2.80, 4 Au 2.80
2 Tc 0.5000 0.5000 0.5000  4 Pb 2.80, 4 Au 2.80
3 Pb 0.7500 0.7500 0.7500  4 Co 2.80, 4 Tc 2.80
4 Au 0.2500 0.2500 0.2500  4 Tc 2.80, 4 Co 2.80



[2]
ZnCoPbAu | PBE-GGA | relaxed

Calculated values
The symmetry is F-43m (216). The energy above the most stable polymorph in this dataset is 0.0000 eV per atom.

Cell: 4.6321 4.6321 4.6321 Å, 60.00 60.00 60.00°
Closest atoms and distances in Å follow each position.
Element x y z (fractional)
1 Zn 0.0000 0.0000 0.0000  4 Pb 2.84, 4 Au 2.84
2 Co 0.5000 0.5000 0.5000  4 Au 2.84, 4 Pb 2.84
3 Pb 0.2500 0.2500 0.2500  4 Co 2.84, 4 Zn 2.84
4 Au 0.7500 0.7500 0.7500  4 Co 2.84, 4 Zn 2.84



[3]
CoPdAu | PBE-GGA | relaxed

Calculated values
The symmetry is F-43m (216). The energy above the most stable polymorph in this dataset is 0.0000 eV per atom. The calculation puts the energy of formation from the pure elements at 358 meV per atom.

Cell: 4.1351 4.1351 4.1351 Å, 60.00 60.00 60.00°
Closest atoms and distances in Å follow each position.
Element x y z (fractional)
1 Co 0.0000 0.0000 0.0000  4 Pd 2.53, 4 Au 2.53
2 Pd 0.2500 0.2500 0.2500  4 Co 2.53
3 Au 0.7500 0.7500 0.7500  4 Co 2.53



[4]
CoSbPdAu | PBE-GGA | relaxed

Calculated values
The symmetry is F-43m (216). The energy above the most stable polymorph in this dataset is 0.0000 eV per atom.

Cell: 4.5360 4.5360 4.5360 Å, 60.00 60.00 60.00°
Closest atoms and distances in Å follow each position.
Element x y z (fractional)
1 Co 0.0000 0.0000 0.0000  4 Sb 2.78, 4 Au 2.78
2 Sb 0.7500 0.7500 0.7500  4 Pd 2.78, 4 Co 2.78
3 Pd 0.5000 0.5000 0.5000  4 Au 2.78, 4 Sb 2.78
4 Au 0.2500 0.2500 0.2500  4 Pd 2.78, 4 Co 2.78



[5]
CoSiPdAu | PBE-GGA | relaxed

Calculated values
The symmetry is F-43m (216). The energy above the most stable polymorph in this dataset is 0.0000 eV per atom.

Cell: 4.3176 4.3176 4.3176 Å, 60.00 60.00 60.00°
Closest atoms and distances in Å follow each position.
Element x y z (fractional)
1 Co 0.0000 0.0000 0.0000  4 Si 2.64, 4 Au 2.64
2 Si 0.7500 0.7500 0.7500  4 Co 2.64, 4 Pd 2.64
3 Pd 0.5000 0.5000 0.5000  4 Si 2.64, 4 Au 2.64
4 Au 0.2500 0.2500 0.2500  4 Co 2.64, 4 Pd 2.64



[6]
CoSnPdAu | PBE-GGA | relaxed

Calculated values
The symmetry is F-43m (216). The energy above the most stable polymorph in this dataset is 0.0000 eV per atom.

Cell: 4.5144 4.5144 4.5144 Å, 60.00 60.00 60.00°
Closest atoms and distances in Å follow each position.
Element x y z (fractional)
1 Co 0.0000 0.0000 0.0000  4 Sn 2.76, 4 Au 2.76
2 Sn 0.7500 0.7500 0.7500  4 Pd 2.76, 4 Co 2.76
3 Pd 0.5000 0.5000 0.5000  4 Sn 2.76, 4 Au 2.76
4 Au 0.2500 0.2500 0.2500  4 Pd 2.76, 4 Co 2.76



[7]
CoPt2Au | PBE-GGA | relaxed

Calculated values
The symmetry is F-43m (216). The calculation puts the energy of formation from the pure elements at 190 meV per atom.

Cell: 4.4433 4.4433 4.4433 Å, 60.00 60.00 60.00°
Closest atoms and distances in Å follow each position.
Element x y z (fractional)
1 Co 0.0000 0.0000 0.0000  4 Pt 2.72, 4 Au 2.72
2 Pt 0.2500 0.2500 0.2500  4 Co 2.72, 4 Pt 2.72
3 Pt 0.5000 0.5000 0.5000  4 Pt 2.72, 4 Au 2.72
4 Au 0.7500 0.7500 0.7500  4 Co 2.72, 4 Pt 2.72



[8]
CoSnPtAu | PBE-GGA | relaxed

Calculated values
The symmetry is F-43m (216). The energy above the most stable polymorph in this dataset is 0.0000 eV per atom.

Cell: 4.5295 4.5295 4.5295 Å, 60.00 60.00 60.00°
Closest atoms and distances in Å follow each position.
Element x y z (fractional)
1 Co 0.0000 0.0000 0.0000  4 Sn 2.77, 4 Au 2.77
2 Sn 0.7500 0.7500 0.7500  4 Co 2.77, 4 Pt 2.77
3 Pt 0.5000 0.5000 0.5000  4 Sn 2.77, 4 Au 2.77
4 Au 0.2500 0.2500 0.2500  4 Co 2.77, 4 Pt 2.77



[9]
TlCoPtAu | PBE-GGA | relaxed

Calculated values
The symmetry is F-43m (216). The energy above the most stable polymorph in this dataset is 0.0000 eV per atom.

Cell: 4.5844 4.5844 4.5844 Å, 60.00 60.00 60.00°
Closest atoms and distances in Å follow each position.
Element x y z (fractional)
1 Tl 0.0000 0.0000 0.0000  4 Co 2.81, 4 Pt 2.81
2 Co 0.2500 0.2500 0.2500  4 Au 2.81, 4 Tl 2.81
3 Pt 0.7500 0.7500 0.7500  4 Au 2.81, 4 Tl 2.81
4 Au 0.5000 0.5000 0.5000  4 Pt 2.81, 4 Co 2.81



[10]
ZnCoPtAu | PBE-GGA | relaxed

Calculated values
The symmetry is F-43m (216). The energy above the most stable polymorph in this dataset is 0.0000 eV per atom. The calculation puts the energy of formation from the pure elements at 22 meV per atom.

Cell: 4.3886 4.3886 4.3886 Å, 60.00 60.00 60.00°
Closest atoms and distances in Å follow each position.
Element x y z (fractional)
1 Zn 0.0000 0.0000 0.0000  4 Co 2.69, 4 Pt 2.69
2 Co 0.2500 0.2500 0.2500  4 Zn 2.69, 4 Au 2.69
3 Pt 0.7500 0.7500 0.7500  4 Zn 2.69, 4 Au 2.69
4 Au 0.5000 0.5000 0.5000  4 Co 2.69, 4 Pt 2.69



[11]
RbCoAu | PBE-GGA | relaxed

Calculated values
The symmetry is F-43m (216). The energy above the most stable polymorph in this dataset is 0.0000 eV per atom.

Cell: 4.8837 4.8837 4.8837 Å, 60.00 60.00 60.00°
Closest atoms and distances in Å follow each position.
Element x y z (fractional)
1 Rb 0.0000 0.0000 0.0000  4 Co 2.99
2 Co 0.7500 0.7500 0.7500  4 Rb 2.99, 4 Au 2.99
3 Au 0.5000 0.5000 0.5000  4 Co 2.99



[12]
RbCoAuSe2S | PBE-GGA | relaxed

Calculated values
The symmetry is Cmcm (63). For the energy, the calculation gives -47.4 eV/cell.

Cell: 8.1635 8.1635 10.0983 Å, 90.00 90.00 154.03°
Closest atoms and distances in Å follow each position.
Element x y z (fractional)
1 Rb 0.2361 0.7639 0.7500  2 Se 3.40, 2 Au 3.52, 2 S 3.57, 2 Rb 3.67
2 Rb 0.7639 0.2361 0.2500  2 Se 3.40, 2 Au 3.52, 2 S 3.57, 2 Rb 3.67
3 Co 0.5000 0.5000 0.0000  4 Se 2.42, 2 S 2.62
4 Co 0.5000 0.5000 0.5000  4 Se 2.42, 2 S 2.62
5 Au 0.0750 0.9250 0.2500  2 Se 2.47, 2 S 2.63
6 Au 0.9250 0.0750 0.7500  2 Se 2.47, 2 S 2.63
7 Se 0.0994 0.9006 0.0082  2 Co 2.42, 1 Au 2.47
8 Se 0.0994 0.9006 0.4918  2 Co 2.42, 1 Au 2.47
9 Se 0.9006 0.0994 0.5082  2 Co 2.42, 1 Au 2.47
10 Se 0.9006 0.0994 0.9918  2 Co 2.42, 1 Au 2.47
11 S 0.4562 0.5438 0.2500  2 Co 2.62, 2 Au 2.63
12 S 0.5438 0.4562 0.7500  2 Co 2.62, 2 Au 2.63



[13]
RbCoTeAuS2 | PBE-GGA | relaxed

Calculated values
The symmetry is Cmcm (63). For the energy, the calculation gives -49.2 eV/cell.

Cell: 8.8536 8.8536 10.0725 Å, 90.00 90.00 157.60°
Closest atoms and distances in Å follow each position.
Element x y z (fractional)
1 Rb 0.2317 0.7683 0.7500  2 Au 3.36, 2 Rb 3.44, 2 Te 3.59, 2 S 3.69
2 Rb 0.7683 0.2317 0.2500  2 Au 3.36, 2 Rb 3.44, 2 Te 3.59, 2 S 3.69
3 Co 0.5000 0.5000 0.0000  4 S 2.31
4 Co 0.5000 0.5000 0.5000  4 S 2.31
5 Te 0.4495 0.5505 0.2500  2 Co 2.67
6 Te 0.5505 0.4495 0.7500  2 Co 2.67
7 Au 0.1021 0.8979 0.2500  2 S 2.34
8 Au 0.8979 0.1021 0.7500  2 S 2.34
9 S 0.0877 0.9123 0.0187  2 Co 2.31, 1 Au 2.34
10 S 0.0877 0.9123 0.4813  2 Co 2.31, 1 Au 2.34
11 S 0.9123 0.0877 0.5187  2 Co 2.31, 1 Au 2.34
12 S 0.9123 0.0877 0.9813  2 Co 2.31, 1 Au 2.34